The following is a DFT calculation (PBE-GGA) of a relaxed structure of Ti2ReP. Values from VASP.

As for the space-group type: I-42d, No. 122. The value obtained for the formation energy is 0.02 eV/atom. The total magnetic moment comes out at 0.000 μB per atom.

Quantum ESPRESSO input file:
```
&SYSTEM
  ibrav = 0, nat = 8, ntyp = 3
/
ATOMIC_SPECIES
Ti 47.87 Ti.upf
Re 186.21 Re.upf
P 30.97 P.upf
CELL_PARAMETERS angstrom
-3.450 3.450 2.637
3.450 -3.450 2.637
3.450 3.450 -2.637
ATOMIC_POSITIONS angstrom
Ti 5.175 1.595 -0.659
Ti 1.595 1.725 0.659
Ti -1.725 1.855 1.977
Ti 1.855 1.725 3.296
Re 3.450 0.000 1.318
Re 0.000 0.000 2.637
P 0.000 0.000 0.000
P 0.000 3.450 1.318
```